Model w:
## Nb3AlTe (PBE)

Data for a geometry-optimized Nb3AlTe structure.

Space-group type ... Pm-3m, No. 221
Crystal system ... cubic
DOS at the Fermi energy ... 7.2 states/eV/f.u.
Total magnetic moment ... 0.00 μB per formula unit

Geometry as POSCAR:
```
Nb3AlTe
1.0
4.778 0.000 0.000
0.000 4.778 0.000
0.000 0.000 4.778
Nb Al Te
3 1 1
Direct
0.000 0.000 0.500 Nb
0.000 0.500 0.000 Nb
0.500 0.000 0.000 Nb
0.000 0.000 0.000 Al
0.500 0.500 0.500 Te
```

=====

Model x:
## Nb3AlTe (PBE)

Data for a geometry-optimized Nb3AlTe structure.

Space-group type ... Pm-3m, No. 221
Crystal system ... cubic
DOS at the Fermi energy ... 8.4 states/eV/f.u.
Total magnetic moment ... 0.00 μB per formula unit

Geometry as POSCAR:
```
Nb3AlTe
1.0
5.004 0.000 0.000
0.000 5.004 0.000
0.000 0.000 5.004
Nb Al Te
3 1 1
Direct
0.000 0.000 0.500 Nb
0.000 0.500 0.000 Nb
0.500 0.000 0.000 Nb
0.500 0.500 0.500 Al
0.000 0.000 0.000 Te
```

=====

The relative energies come out as model w 0.0; model x 29.1, with values in kJ/mol of atoms.